Material: ThZrTlIn
Method: DFT, PBE
State: relaxed

Its energy relative to the elements is -0.045 eV per atom.

Structure (extended XYZ):
```
4
Lattice="0.0000 3.7517 3.7517 3.7517 0.0000 3.7517 3.7517 3.7517 0.0000" Properties=species:S:1:pos:R:3 pbc="T T T"
Th 0.0000 0.0000 0.0000
Zr 3.7517 3.7517 3.7517
Tl 1.8758 1.8758 1.8758
In 5.6275 5.6275 5.6275
```


Material: Ac12IrAu6
Method: DFT, PBE
State: relaxed

Its energy relative to the elements is -0.513 eV per atom.

Structure (extended XYZ):
```
19
Lattice="6.8877 3.9766 4.4375 -6.8877 3.9766 4.4375 0.0000 -7.9533 4.4375" Properties=species:S:1:pos:R:3 pbc="T T T"
Ac -4.4533 -4.4661 7.2933
Ac -6.0944 1.6236 6.0191
Ac -1.5927 -2.1615 5.2263
Ac 1.6411 -6.0897 6.0191
Ac -1.0755 2.4601 5.2263
Ac -2.6683 0.2986 8.0861
Ac 2.6683 -0.2986 5.2263
Ac 1.0755 -2.4601 8.0861
Ac -1.6411 6.0897 7.2933
Ac 1.5927 2.1615 8.0861
Ac 6.0944 -1.6236 7.2933
Ac 4.4533 4.4661 6.0191
Ir 0.0000 0.0000 0.0000
Au -3.4300 0.5284 4.7090
Au 1.2574 -3.2347 4.7090
Au -2.1726 -2.7062 8.6034
Au 2.1726 2.7062 4.7090
Au -1.2574 3.2346 8.6034
Au 3.4300 -0.5284 8.6034
```


Material: CaPrTmSc
Method: DFT, PBE
State: relaxed

Its energy relative to the elements is 0.154 eV per atom.

Structure (extended XYZ):
```
4
Lattice="0.0000 3.9984 3.9984 3.9984 0.0000 3.9984 3.9984 3.9984 0.0000" Properties=species:S:1:pos:R:3 pbc="T T T"
Ca 0.0000 0.0000 0.0000
Pr 1.9992 1.9992 1.9992
Tm 5.9976 5.9976 5.9976
Sc 3.9984 3.9984 3.9984
```


Material: HgBi2HPb
Method: DFT, PBE
State: relaxed

The final energy is -2.00 eV/atom.

Structure (extended XYZ):
```
5
Lattice="6.0490 0.0000 0.0000 0.0000 6.0490 0.0000 0.0000 0.0000 6.1132" Properties=species:S:1:pos:R:3 pbc="T T T"
Hg 0.0000 0.0000 0.0000
Bi 0.0000 3.0245 3.0566
Bi 3.0245 0.0000 3.0566
H 3.0245 3.0245 0.0000
Pb 0.0000 0.0000 3.0566
```


Material: KTaOs2S
Method: DFT, PBE
State: relaxed

The calculation puts the uncorrected formation energy at 1.971 eV per atom.

Structure (extended XYZ):
```
5
Lattice="4.7580 0.0000 0.0000 0.0000 4.7580 0.0000 0.0000 0.0000 6.6103" Properties=species:S:1:pos:R:3 pbc="T T T"
K 0.0000 0.0000 0.0000
Ta 0.0000 0.0000 3.3052
Os 0.0000 2.3790 3.3052
Os 2.3790 0.0000 3.3052
S 2.3790 2.3790 0.0000
```


Material: TaHgP2
Method: DFT, PBE
State: relaxed

Its energy relative to the elements is 0.074 eV per atom.

Structure (extended XYZ):
```
4
Lattice="3.5400 0.0000 0.0000 0.0000 3.5400 0.0000 0.0000 0.0000 6.6536" Properties=species:S:1:pos:R:3 pbc="T T T"
Ta 0.0000 0.0000 0.0000
Hg 1.7700 1.7700 3.2280
P 0.0000 0.0000 4.3637
P 1.7700 1.7700 0.5689
```


Material: Mn2IrOs
Method: DFT, PBE
State: relaxed

Its energy relative to the elements is 0.268 eV per atom.

Structure (extended XYZ):
```
4
Lattice="0.0000 3.0223 3.0223 3.0223 0.0000 3.0223 3.0223 3.0223 0.0000" Properties=species:S:1:pos:R:3 pbc="T T T"
Mn 0.0000 0.0000 0.0000
Mn 1.5112 1.5112 1.5112
Ir 3.0223 3.0223 3.0223
Os 4.5335 4.5335 4.5335
```


Material: Rb3AgAu2Cl9
Method: DFT, PBE
State: relaxed

The calculation puts the uncorrected formation energy at -0.993 eV per atom.

Structure (extended XYZ):
```
15
Lattice="7.2966 0.0000 0.0000 -3.6483 6.3191 0.0000 0.0000 0.0000 8.9442" Properties=species:S:1:pos:R:3 pbc="T T T"
Rb 0.0000 0.0000 0.0000
Rb 0.0000 4.2127 5.8961
Rb 3.6483 2.1064 3.0481
Ag 0.0000 0.0000 4.4721
Au 0.0000 4.2127 1.4696
Au 3.6483 2.1064 7.4746
Cl -1.8242 3.1595 0.0000
Cl 0.0000 2.1206 2.9349
Cl -1.8118 5.2588 2.9349
Cl 1.8365 1.0603 6.0093
Cl 3.6483 0.0000 0.0000
Cl 1.8242 3.1595 0.0000
Cl 1.8118 5.2588 2.9349
Cl 5.4601 1.0603 6.0093
Cl 3.6483 4.1985 6.0093
```


Calculated values (μB per cell) of magnetic moment for the records, taken in order: 1.27, 0.00, 0.00, 1.68, 2.78, 0.00, 5.91, 0.00.
Calculated values (states/eV/atom) of DOS(E_F) for the records, taken in order: 1.051, 1.212, 1.539, 1.152, 0.779, 0.452, 1.385, 0.328.